KBe2Au after structural relaxation, computed with GGA-PBE.

Cell: 6.025 6.025 6.025 Å, 152.95 122.69 64.48°
Fractional coordinates of all 4 atoms:
K 0.750 0.250 0.500
Be 0.437 0.437 0.000
Be 0.063 0.063 0.000
Au 0.250 0.750 0.500

The calculation puts the calculated formation energy at 2.21 eV per formula unit. As for the total magnetization: 0.00 Bohr magnetons per cell. Its energy relative to the lowest polymorph listed for this composition is 2.47 eV per formula unit. The space group is Immm, No. 71.